Record 1
Density functional theory data (GGA-PBE) for Ca3YTl after structural relaxation.

The space group is Pm-3m (No. 221) and the conventional cell measures 5.9290, 5.9290 and 5.9290 Å, with angles of 90.00, 90.00 and 90.00 degrees. The inequivalent atoms are Ca at (0.0000, 0.0000, 0.5000), Y at (0.5000, 0.5000, 0.5000) and Tl at (0.0000, 0.0000, 0.0000).

Its raw total energy is -13.747 eV/cell.

---

Record 2
Density functional theory data (GGA-PBE) for ZnAgHg2 after structural relaxation.

The space group is Pm (No. 6) and the conventional cell measures 3.2393, 4.6889 and 5.2640 Å, with angles of 90.00, 90.08 and 90.00 degrees. The inequivalent atoms are Zn at (0.0000, 0.0000, 0.0000), Ag at (0.0031, 0.5000, 0.3169), Hg at (0.5014, 0.5000, 0.8406) and Hg at (0.5034, 0.0000, 0.4780).

Its raw total energy is -4.359 eV/cell.

---

Record 3
Density functional theory data (GGA-PBE) for Na2TiSe after structural relaxation.

The space group is I-42d (No. 122) and the conventional cell measures 9.9156, 9.9156 and 4.9634 Å, with angles of 90.00, 90.00 and 90.00 degrees. The inequivalent atoms are Na at (0.1395, 0.2500, 0.1250), Ti at (0.0000, 0.0000, 0.5000) and Se at (0.0000, 0.0000, 0.0000).

Its raw total energy is -57.039 eV/cell.

---

Record 4
Density functional theory data (GGA-PBE) for LiBiTe2I after structural relaxation.

The space group is P4/mmm (No. 123) and the conventional cell measures 5.2382, 5.2382 and 5.3044 Å, with angles of 90.00, 90.00 and 90.00 degrees. The inequivalent atoms are Li at (0.0000, 0.0000, 0.0000), Bi at (0.5000, 0.5000, 0.5000), Te at (0.0000, 0.5000, 0.0000) and I at (0.0000, 0.0000, 0.5000).

Its raw total energy is -13.317 eV/cell.

---

Record 5
Density functional theory data (GGA-PBE) for Pm3IrI3 after structural relaxation.

The space group is P2_1/m (No. 11) and the conventional cell measures 9.3337, 4.2551 and 12.5658 Å, with angles of 90.00, 92.16 and 90.00 degrees. The inequivalent atoms are Pm at (0.0995, 0.2500, 0.3893), Pm at (0.1135, 0.2500, 0.8358), Pm at (0.3057, 0.7500, 0.6186), Ir at (0.1071, 0.2500, 0.6188), I at (0.1374, 0.2500, 0.1139), I at (0.3688, 0.7500, 0.8740) and I at (0.3946, 0.7500, 0.3675).

Its raw total energy is -71.504 eV/cell.

---

Record 6
Density functional theory data (GGA-PBE) for KLaRh2 after structural relaxation.

The space group is P4/mmm (No. 123) and the conventional cell measures 3.5624, 3.5624 and 7.8735 Å, with angles of 90.00, 90.00 and 90.00 degrees. The inequivalent atoms are K at (0.0000, 0.0000, 0.0000), La at (0.0000, 0.0000, 0.5000) and Rh at (0.5000, 0.5000, 0.3138).

Its raw total energy is -20.892 eV/cell.

---

Record 7
Density functional theory data (GGA-PBE) for NbVOsRu2 after structural relaxation.

The space group is P4/mmm (No. 123) and the conventional cell measures 4.5884, 4.5884 and 4.5145 Å, with angles of 90.00, 90.00 and 90.00 degrees. The inequivalent atoms are Nb at (0.0000, 0.0000, 0.0000), V at (0.0000, 0.0000, 0.5000), Os at (0.5000, 0.5000, 0.5000) and Ru at (0.0000, 0.5000, 0.0000).

Its raw total energy is -39.213 eV/cell.

---

Record 8
Density functional theory data (GGA-PBE) for K2RhSeCl after structural relaxation.

The space group is P4/mmm (No. 123) and the conventional cell measures 6.3617, 6.3617 and 4.4966 Å, with angles of 90.00, 90.00 and 90.00 degrees. The inequivalent atoms are K at (0.0000, 0.5000, 0.0000), Rh at (0.0000, 0.0000, 0.5000), Se at (0.0000, 0.0000, 0.0000) and Cl at (0.5000, 0.5000, 0.5000).

Its raw total energy is -18.305 eV/cell.